1.
# PBE-GGA SmHoPdRu, relaxed
data_SmHoPdRu
_space_group_name_H-M_alt 'P 1'
_space_group_IT_number 1
_cell_length_a 6.9566
_cell_length_b 6.9566
_cell_length_c 6.9566
_cell_angle_alpha 90.00
_cell_angle_beta 90.00
_cell_angle_gamma 90.00
loop_
_space_group_symop_operation_xyz
'x,y,z'
loop_
_atom_site_label
_atom_site_fract_x
_atom_site_fract_y
_atom_site_fract_z
Sm1 0.0000 0.0000 0.0000
Sm2 0.0000 0.5000 0.5000
Sm3 0.5000 0.0000 0.5000
Sm4 0.5000 0.5000 0.0000
Ho1 0.0000 0.0000 0.5000
Ho2 0.0000 0.5000 0.0000
Ho3 0.5000 0.0000 0.0000
Ho4 0.5000 0.5000 0.5000
Pd1 0.2500 0.2500 0.7500
Pd2 0.2500 0.7500 0.2500
Pd3 0.7500 0.2500 0.2500
Pd4 0.7500 0.7500 0.7500
Ru1 0.2500 0.2500 0.2500
Ru2 0.2500 0.7500 0.7500
Ru3 0.7500 0.2500 0.7500
Ru4 0.7500 0.7500 0.2500
# Energy above the lowest structure with this stoichiometry, kcal/mol of atoms: 0.90
# Formation enthalpy at 0 K, eV per atom: -0.582
# Volume, Å³ per atom: 21.041
# SG: F-43m (216)



2.
# PBE-GGA HoAl2Zn6, relaxed
data_HoAl2Zn6
_space_group_name_H-M_alt 'P 1'
_space_group_IT_number 1
_cell_length_a 7.3883
_cell_length_b 7.3883
_cell_length_c 7.3883
_cell_angle_alpha 151.43
_cell_angle_beta 122.11
_cell_angle_gamma 65.81
loop_
_space_group_symop_operation_xyz
'x,y,z'
loop_
_atom_site_label
_atom_site_fract_x
_atom_site_fract_y
_atom_site_fract_z
Ho1 0.0000 0.0000 0.0000
Al1 0.3750 0.8750 0.5000
Al2 0.6250 0.1250 0.5000
Zn1 0.0020 0.6836 0.3184
Zn2 0.3272 0.5000 0.8272
Zn3 0.3652 0.6836 0.6816
Zn4 0.6348 0.3164 0.3184
Zn5 0.6728 0.5000 0.1728
Zn6 0.9980 0.3164 0.6816
# Energy above the lowest structure with this stoichiometry, kcal/mol of atoms: 0.00
# Formation enthalpy at 0 K, eV per atom: -0.072
# Volume, Å³ per atom: 17.972
# SG: Immm (71)



3.
# PBE-GGA Dy6Er5Sc, relaxed
data_Dy6Er5Sc
_space_group_name_H-M_alt 'P 1'
_space_group_IT_number 1
_cell_length_a 6.0702
_cell_length_b 6.0702
_cell_length_c 11.5943
_cell_angle_alpha 94.99
_cell_angle_beta 94.99
_cell_angle_gamma 119.94
loop_
_space_group_symop_operation_xyz
'x,y,z'
loop_
_atom_site_label
_atom_site_fract_x
_atom_site_fract_y
_atom_site_fract_z
Dy1 0.0822 0.4134 0.2477
Dy2 0.2489 0.2489 0.7521
Dy3 0.4134 0.0822 0.2477
Dy4 0.5866 0.9178 0.7523
Dy5 0.7511 0.7511 0.2479
Dy6 0.9178 0.5866 0.7523
Er1 0.1665 0.8335 0.5000
Er2 0.3334 0.6666 0.0000
Er3 0.5000 0.5000 0.5000
Er4 0.6666 0.3334 0.0000
Er5 0.8335 0.1665 0.5000
Sc1 0.0000 0.0000 0.0000
# Formation enthalpy at 0 K, eV per atom: 0.028
# Volume, Å³ per atom: 30.379
# SG: C2/m (12)



4.
# PBE-GGA ZnCr2Hg, relaxed
data_ZnCr2Hg
_space_group_name_H-M_alt 'P 1'
_space_group_IT_number 1
_cell_length_a 2.9753
_cell_length_b 4.6775
_cell_length_c 8.8729
_cell_angle_alpha 90.00
_cell_angle_beta 90.00
_cell_angle_gamma 90.00
loop_
_space_group_symop_operation_xyz
'x,y,z'
loop_
_atom_site_label
_atom_site_fract_x
_atom_site_fract_y
_atom_site_fract_z
Zn1 0.0000 0.0000 0.0000
Zn2 0.5000 0.5000 0.0000
Cr1 0.0000 0.0000 0.5744
Cr2 0.0000 0.5000 0.7587
Cr3 0.5000 0.0000 0.7587
Cr4 0.5000 0.5000 0.5744
Hg1 0.0000 0.5000 0.2935
Hg2 0.5000 0.0000 0.2935
# Energy above the lowest structure with this stoichiometry, kcal/mol of atoms: 2.97
# Formation enthalpy at 0 K, eV per atom: 0.379
# Volume, Å³ per atom: 15.435
# SG: Cmm2 (35)



5.
# PBE-GGA Y2MgNbRh, relaxed
data_Y2MgNbRh
_space_group_name_H-M_alt 'P 1'
_space_group_IT_number 1
_cell_length_a 5.2615
_cell_length_b 5.2615
_cell_length_c 4.9193
_cell_angle_alpha 90.00
_cell_angle_beta 90.00
_cell_angle_gamma 90.00
loop_
_space_group_symop_operation_xyz
'x,y,z'
loop_
_atom_site_label
_atom_site_fract_x
_atom_site_fract_y
_atom_site_fract_z
Y1 0.0000 0.5000 0.0000
Y2 0.5000 0.0000 0.0000
Mg1 0.0000 0.0000 0.5000
Nb1 0.5000 0.5000 0.5000
Rh1 0.0000 0.0000 0.0000
# Formation enthalpy at 0 K, eV per atom: 0.291
# Volume, Å³ per atom: 27.236
# SG: P4/mmm (123)



6.
# PBE-GGA CaErCd2Hg4, relaxed
data_CaErCd2Hg4
_space_group_name_H-M_alt 'P 1'
_space_group_IT_number 1
_cell_length_a 8.9639
_cell_length_b 8.9639
_cell_length_c 8.9639
_cell_angle_alpha 32.91
_cell_angle_beta 32.91
_cell_angle_gamma 32.91
loop_
_space_group_symop_operation_xyz
'x,y,z'
loop_
_atom_site_label
_atom_site_fract_x
_atom_site_fract_y
_atom_site_fract_z
Ca1 0.0000 0.0000 0.0000
Er1 0.5000 0.5000 0.5000
Cd1 0.2500 0.2500 0.2500
Cd2 0.7500 0.7500 0.7500
Hg1 0.1258 0.1258 0.1258
Hg2 0.3776 0.3776 0.3776
Hg3 0.6224 0.6224 0.6224
Hg4 0.8742 0.8742 0.8742
# Formation enthalpy at 0 K, eV per atom: -0.354
# Volume, Å³ per atom: 23.644
# SG: R-3m (166)